Density functional theory data (PBE) for LaCd10Pd2 after structural relaxation.

Unit cell a=5.663 b=7.609 c=7.682 alpha=82.12 beta=68.37 gamma=68.15
Positions (direct):
La: 0.000 0.000 0.000
Cd: 0.346 0.637 0.671
Cd: 0.654 0.363 0.329
Cd: 0.983 0.363 0.671
Cd: 0.017 0.637 0.329
Cd: 0.000 0.000 0.500
Cd: 0.500 0.000 0.500
Cd: 0.286 0.222 0.205
Cd: 0.714 0.778 0.795
Cd: 0.508 0.778 0.205
Cd: 0.492 0.222 0.795
Pd: 0.000 0.500 0.000
Pd: 0.500 0.500 0.000

Output
Calculated volume, Å³/atom: 22.0
SG: Fmmm (69)
E_form, eV/atom: -0.249